1.
4
Lattice="4.603 -0.003 -0.001 3.430 3.070 -0.001 0.834 0.318 7.117" Properties=species:S:1:pos:R:3 comment="PBE LiCa2Ru, optimized geometry" e_tot_ev_per_cell=-13.782 pbc="T T T"
Ru 2.217 0.846 1.779
Li 6.651 2.539 5.336
Ca 4.543 1.734 3.257
Ca 7.924 3.025 0.299

---

2.
8
Lattice="5.497 0.000 -0.008 0.000 3.347 0.000 -2.736 0.000 5.868" Properties=species:S:1:pos:R:3 comment="PBE Ni2WS, optimized geometry" e_tot_ev_per_cell=-57.669 raw_formation_energy_ev_per_atom=-0.0478 pbc="T T T"
S 1.587 0.837 1.192
S 1.174 2.510 4.667
Ni 3.155 2.510 0.887
Ni -2.245 2.510 4.997
Ni -0.394 0.837 4.972
Ni 5.006 0.837 0.862
W 3.173 0.837 2.987
W -0.412 2.510 2.873

---

3.
4
Lattice="-0.472 5.168 -1.521 -0.634 1.234 -5.227 -4.752 1.872 -1.780" Properties=species:S:1:pos:R:3 comment="PBE Ba2BeW, optimized geometry" e_tot_ev_per_cell=-14.802 pbc="T T T"
W -4.393 6.206 -6.396
Ba -1.464 2.069 -2.132
Ba 0.000 0.000 0.000
Be -2.929 4.137 -4.264

---

4.
10
Lattice="7.306 0.000 0.000 0.000 7.306 0.000 0.000 0.000 4.239" Properties=species:S:1:pos:R:3 comment="PBE Sc2SiSb2, optimized geometry" e_tot_ev_per_cell=-57.307 raw_formation_energy_ev_per_atom=-0.4645 pbc="T T T"
Sc 1.166 2.487 0.000
Sc 2.487 6.141 0.000
Sc 6.141 4.819 0.000
Sc 4.819 1.166 0.000
Sb 1.134 4.787 2.119
Sb 4.787 6.173 2.119
Sb 2.520 1.134 2.119
Sb 6.173 2.520 2.119
Si 0.000 0.000 0.000
Si 3.653 3.653 0.000

---

5.
10
Lattice="4.057 0.000 -0.783 -0.300 5.608 -1.557 -0.003 -0.005 10.891" Properties=species:S:1:pos:R:3 comment="PBE Pa5Ge4Se, optimized geometry" e_tot_ev_per_cell=-75.624 raw_formation_energy_ev_per_atom=-0.6191 pbc="T T T"
Pa -0.150 2.804 -0.778
Pa 3.154 1.680 5.443
Pa 2.406 0.563 1.563
Pa 1.348 5.040 6.989
Pa 0.600 3.923 3.108
Ge 2.253 3.363 0.771
Ge 1.501 2.240 7.781
Ge 0.750 1.119 3.887
Ge 3.004 4.484 4.664
Se 0.000 0.000 0.000

---

6.
10
Lattice="4.109 0.000 0.000 2.054 6.628 -0.379 2.054 -0.089 9.320" Properties=species:S:1:pos:R:3 comment="PBE Tb2Sb2O, optimized geometry" e_tot_ev_per_cell=-62.420 raw_formation_energy_ev_per_atom=-1.7493 pbc="T T T"
Sb 6.163 1.233 8.663
Sb 4.109 3.670 5.883
Sb 4.109 2.869 3.058
Sb 2.054 5.306 0.278
O 4.109 6.398 3.273
O 4.109 0.141 5.668
Tb 6.163 5.333 3.555
Tb 2.054 1.206 5.386
Tb 6.163 5.643 7.200
Tb 2.054 0.896 1.741

---

7.
8
Lattice="3.927 0.000 0.000 0.000 6.737 -0.133 0.000 2.370 6.367" Properties=species:S:1:pos:R:3 comment="PBE LiCe2MgS4, optimized geometry" e_tot_ev_per_cell=-45.151 raw_formation_energy_ev_per_atom=-1.6581 pbc="T T T"
Mg 0.000 4.553 3.117
Li 1.964 5.739 6.300
S 1.964 5.500 1.565
S 0.000 6.703 4.685
S 1.964 3.607 4.669
S 3.927 2.404 1.548
Ce 1.964 1.185 3.183
Ce 0.000 2.370 6.367

---

8.
5
Lattice="-2.678 -0.746 -2.042 1.035 -3.287 -0.157 -3.133 -2.905 2.255" Properties=species:S:1:pos:R:3 comment="PBE Mn2AlC2, optimized geometry" e_above_lowest_polymorph_ev_per_atom=0.000 e_tot_ev_per_cell=-37.207 pbc="T T T"
C -1.460 -4.104 0.499
C -3.316 -2.833 -0.443
Mn -3.312 -4.674 0.223
Mn -1.464 -2.263 -0.167
Al 0.000 0.000 0.000

---

9.
20
Lattice="2.980 0.000 0.000 0.000 9.636 0.000 0.000 0.000 9.636" Properties=species:S:1:pos:R:3 comment="PBE Mn2TlB2Rh5, optimized geometry" e_tot_ev_per_cell=-145.965 pbc="T T T"
B 0.000 3.636 1.182
B 0.000 1.182 6.000
B 0.000 6.000 8.454
B 0.000 8.454 3.636
Rh 1.490 4.818 0.000
Rh 1.490 0.000 4.818
Rh 1.490 8.945 2.183
Rh 1.490 2.183 0.691
Rh 1.490 7.001 4.127
Rh 1.490 5.509 7.001
Rh 1.490 7.453 8.945
Rh 1.490 4.127 2.635
Rh 1.490 0.691 7.453
Rh 1.490 2.635 5.509
Mn 0.000 7.934 6.520
Mn 0.000 1.702 3.116
Mn 0.000 6.520 1.702
Mn 0.000 3.116 7.934
Tl 0.000 0.000 0.000
Tl 0.000 4.818 4.818

---

10.
4
Lattice="9.043 -0.002 -0.001 8.630 2.699 -0.001 8.630 1.317 2.356" Properties=species:S:1:pos:R:3 comment="PBE CrTcPt2, optimized geometry" e_above_lowest_polymorph_ev_per_atom=0.179 e_tot_ev_per_cell=-32.110 pbc="T T T"
Pt 13.079 1.996 1.170
Pt 0.072 0.011 0.006
Cr 19.727 3.011 1.765
Tc 6.576 1.004 0.588

---

11.
12
Lattice="-5.571 1.388 -4.373 1.544 -6.803 1.851 -2.813 2.375 6.342" Properties=species:S:1:pos:R:3 comment="PBE Ca3Nd2HfAs6, optimized geometry" e_tot_ev_per_cell=-67.336 pbc="T T T"
Ca -1.094 -4.199 3.945
Ca -3.420 -1.520 1.910
Ca -5.747 1.159 -0.125
As -2.716 0.569 -0.068
As -3.771 -3.603 -0.431
As -0.496 -1.987 1.874
As -4.125 -3.609 3.888
As -3.070 0.563 4.251
As -6.345 -1.053 1.946
Hf 0.000 0.000 0.000
Nd -0.833 -4.066 -0.228
Nd -3.194 -1.348 -2.293

---

12.
20
Lattice="-0.203 1.777 -5.662 3.306 -4.671 -1.612 -6.972 -4.514 -1.122" Properties=species:S:1:pos:R:3 comment="PBE BaSrCeTiO6, optimized geometry" e_above_lowest_polymorph_ev_per_atom=0.000 e_tot_ev_per_cell=-156.419 raw_formation_energy_ev_per_atom=-3.1027 pbc="T T T"
O -2.070 -6.829 -5.413
O -6.087 -4.425 -5.794
O -5.927 -5.091 -2.681
O -2.878 -2.236 -5.036
O -1.799 -0.579 -2.982
O -3.120 -2.983 -2.284
O -3.680 -4.328 -7.312
O 2.218 -2.983 -2.600
O -0.189 -3.080 -1.083
O -0.991 -5.172 -3.359
O -0.749 -4.425 -6.111
O 2.058 -2.317 -5.714
Ti -3.588 -1.368 -3.392
Ti 1.653 -2.336 -0.806
Ba -0.176 -2.579 -3.979
Ba -3.694 -4.830 -4.416
Ce -0.102 0.889 -2.831
Ce -1.833 -4.593 -1.367
Sr -5.420 -1.634 -6.404
Sr 1.551 -5.775 -1.991